[1]
{"formula": "BaLi2Zn", "functional": "PBE", "state": "optimized geometry", "dos_ef_per_ev_cell": 7.1, "space_group": "I-42d (122)", "delta_e_f_kj_per_mol_fu": 28.6, "lattice": [[-0.1686, -4.8161, -1.7899], [0.7117, -1.7955, 4.7641], [-9.2719, -3.4776, 2.8481]], "species": ["Li", "Li", "Li", "Li", "Zn", "Zn", "Ba", "Ba"], "fractional_positions": [[0.8750, 0.6288, 0.7500], [0.3750, 0.6212, 0.7500], [0.3712, 0.6250, 0.2500], [0.3788, 0.1250, 0.2500], [0.2500, 0.7500, 0.5000], [0.5000, 0.5000, 0.0000], [0.0000, 0.0000, 0.0000], [0.7500, 0.2500, 0.5000]]}

=====

[2]
{"formula": "TmSbPtRh", "functional": "PBE", "state": "optimized geometry", "dos_ef_per_ev_cell": 2.5, "space_group": "F-43m (216)", "e_form_raw_ev_per_atom": -0.768, "lattice": [[4.7539, 0.0000, 0.0000], [2.3769, 4.1170, 0.0000], [2.3769, 1.3723, 3.8815]], "species": ["Rh", "Sb", "Tm", "Pt"], "fractional_positions": [[0.2500, 0.2500, 0.2500], [0.5000, 0.5000, 0.5000], [0.0000, 0.0000, 0.0000], [0.7500, 0.7500, 0.7500]]}

=====

[3]
{"formula": "Li2YZnCd", "functional": "PBE", "state": "optimized geometry", "dos_ef_per_ev_cell": 4.4, "space_group": "P4/mmm (123)", "delta_e_f_kj_per_mol_fu": 152.2, "lattice": [[4.8737, 0.0000, 0.0000], [0.0000, 5.8141, 0.0000], [0.0000, 0.0000, 4.8737]], "species": ["Zn", "Li", "Li", "Cd", "Y"], "fractional_positions": [[0.5000, 0.5000, 0.5000], [0.0000, 0.0000, 0.5000], [0.5000, 0.0000, 0.0000], [0.0000, 0.0000, 0.0000], [0.0000, 0.5000, 0.0000]]}

=====

[4]
{"formula": "TeWCl2", "functional": "PBE", "state": "optimized geometry", "dos_ef_per_ev_cell": 3.3, "space_group": "Fm-3m (225)", "e_form_raw_ev_per_atom": 1.161, "polymorph_energy_kj_per_mol_atoms": 139.2, "lattice": [[-0.5569, -3.3208, -3.5267], [0.9381, -4.6985, 0.9053], [-3.6582, -3.2154, 0.2345]], "species": ["Cl", "Cl", "Te", "W"], "fractional_positions": [[0.2500, 0.2500, 0.2500], [0.7500, 0.7500, 0.7500], [0.0000, 0.0000, 0.0000], [0.5000, 0.5000, 0.5000]]}

=====

[5]
{"formula": "LiTc", "functional": "PBE", "state": "optimized geometry", "dos_ef_per_ev_cell": 1.4, "space_group": "P-3m1 (164)", "delta_e_f_kj_per_mol_fu": 22.4, "polymorph_energy_kj_per_mol_atoms": 2.2, "lattice": [[-0.5346, -0.7302, 2.6124], [-0.1655, -1.8783, -2.0219], [9.0315, -2.1413, 1.2498]], "species": ["Tc", "Tc", "Li", "Li"], "fractional_positions": [[0.6667, 0.3333, 0.7336], [0.0000, 0.0000, 0.5164], [0.0000, 0.0000, 0.9844], [0.6667, 0.3333, 0.2656]]}

=====

[6]
{"formula": "CdGaAs3", "functional": "PBE", "state": "optimized geometry", "dos_ef_per_ev_cell": 4.0, "space_group": "Pm-3m (221)", "delta_e_f_kj_per_mol_fu": 430.7, "polymorph_energy_kj_per_mol_atoms": 23.7, "lattice": [[-1.3484, 0.0463, -5.0408], [-4.1346, -2.9953, 1.0785], [-2.8839, 4.2727, 0.8107]], "species": ["Cd", "As", "As", "As", "Ga"], "fractional_positions": [[0.0000, 0.0000, 0.0000], [0.0000, 0.0000, 0.5000], [0.0000, 0.5000, 0.0000], [0.5000, 0.0000, 0.0000], [0.5000, 0.5000, 0.5000]]}

=====

[7]
{"formula": "Ce3TiBi5", "functional": "PBE", "state": "optimized geometry", "dos_ef_per_ev_cell": 37.4, "space_group": "P6_3/mcm (193)", "delta_e_f_kj_per_mol_fu": -559.2, "lattice": [[6.4713, 0.0000, 0.0000], [0.0000, 8.2923, -4.7876], [0.0000, 0.0000, 9.5751]], "species": ["Ce", "Ce", "Ce", "Ce", "Ce", "Ce", "Bi", "Bi", "Bi", "Bi", "Bi", "Bi", "Bi", "Bi", "Bi", "Bi", "Ti", "Ti"], "fractional_positions": [[0.7500, 0.0000, 0.3844], [0.2500, 0.6156, 0.0000], [0.7500, 0.3844, 0.0000], [0.7500, 0.6156, 0.6156], [0.2500, 0.0000, 0.6156], [0.2500, 0.3844, 0.3844], [0.7500, 0.7425, 0.0000], [0.2500, 0.2575, 0.0000], [0.5000, 0.3333, 0.6667], [0.2500, 0.7425, 0.7425], [0.5000, 0.6667, 0.3333], [0.0000, 0.6667, 0.3333], [0.7500, 0.0000, 0.7425], [0.7500, 0.2575, 0.2575], [0.2500, 0.0000, 0.2575], [0.0000, 0.3333, 0.6667], [0.5000, 0.0000, 0.0000], [0.0000, 0.0000, 0.0000]]}

=====

[8]
{"formula": "HfBi3Os", "functional": "PBE", "state": "optimized geometry", "dos_ef_per_ev_cell": 8.0, "space_group": "Pm-3m (221)", "delta_e_f_kj_per_mol_fu": 536.9, "polymorph_energy_kj_per_mol_atoms": 0.0, "lattice": [[5.2929, 0.0000, 0.0000], [0.0000, 5.2929, 0.0000], [0.0000, 0.0000, 5.2929]], "species": ["Bi", "Bi", "Bi", "Os", "Hf"], "fractional_positions": [[0.5000, 0.0000, 0.0000], [0.0000, 0.0000, 0.5000], [0.0000, 0.5000, 0.0000], [0.0000, 0.0000, 0.0000], [0.5000, 0.5000, 0.5000]]}